*one*
Material: Sn2HgBiPb
Method: DFT, PBE
State: relaxed

Cell: 7.0963 4.6682 9.7365 Å, 90.00 94.89 90.00°
Fractional positions:
Sn: 0.0191 0.2500 0.2116
Sn: 0.3658 0.7500 0.3876
Sn: 0.6342 0.2500 0.6124
Sn: 0.9809 0.7500 0.7884
Hg: 0.2143 0.7500 0.0900
Hg: 0.7857 0.2500 0.9100
Bi: 0.1940 0.2500 0.5449
Bi: 0.8060 0.7500 0.4551
Pb: 0.3147 0.2500 0.9020
Pb: 0.6853 0.7500 0.0980

Output
Space-group type: P2_1/m
Density of states at the Fermi level: 3.58 states/eV/cell

=====

*two*
Material: Sn2HgBiPb
Method: DFT, PBE
State: relaxed

Cell: 5.9255 5.9255 5.6456 Å, 90.00 90.00 90.00°
Fractional positions:
Sn: 0.0000 0.5000 0.0000
Sn: 0.5000 0.0000 0.0000
Hg: 0.0000 0.0000 0.5000
Bi: 0.0000 0.0000 0.0000
Pb: 0.5000 0.5000 0.5000

Output
Space-group type: P4/mmm
Density of states at the Fermi level: 4.10 states/eV/cell

=====

Here are the energies relative to the best structure, in eV/atom: *one* 0.000; *two* 0.482.

=====

*one*
Material: SrHgBiPb2
Method: DFT, PBE
State: relaxed

Cell: 6.0708 6.0708 5.7409 Å, 90.00 90.00 90.00°
Fractional positions:
Sr: 0.0000 0.0000 0.0000
Hg: 0.5000 0.5000 0.0000
Bi: 0.5000 0.5000 0.5000
Pb: 0.0000 0.5000 0.5000
Pb: 0.5000 0.0000 0.5000

Output
Space-group type: P4/mmm
Density of states at the Fermi level: 3.47 states/eV/cell

=====

*two*
Material: SrHgBiPb2
Method: DFT, PBE
State: relaxed

Cell: 8.3602 8.3602 6.7179 Å, 90.00 90.00 132.94°
Fractional positions:
Sr: 0.2486 0.7514 0.7500
Sr: 0.7514 0.2486 0.2500
Hg: 0.3626 0.6374 0.2500
Hg: 0.6374 0.3626 0.7500
Bi: 0.1676 0.8324 0.2500
Bi: 0.8324 0.1676 0.7500
Pb: 0.2425 0.2425 0.0000
Pb: 0.2425 0.2425 0.5000
Pb: 0.7575 0.7575 0.0000
Pb: 0.7575 0.7575 0.5000

Output
Space-group type: Cmcm
Density of states at the Fermi level: 5.27 states/eV/cell

=====

Here are the energies relative to the best structure, in eV/atom: *one* 0.438; *two* 0.000.

=====

*one*
Material: ThHgBiPb
Method: DFT, PBE
State: relaxed

Cell: 4.6741 4.8772 4.9946 Å, 90.00 90.00 90.00°
Fractional positions:
Th: 0.0000 0.0000 0.0000
Hg: 0.0000 0.5000 0.5000
Bi: 0.5000 0.5000 0.0000
Pb: 0.5000 0.0000 0.5000

Output
Space-group type: Pmmm
Density of states at the Fermi level: 3.32 states/eV/cell

=====

*two*
Material: ThHgBiPb
Method: DFT, PBE
State: relaxed

Cell: 7.7958 7.7958 7.7958 Å, 90.00 90.00 90.00°
Fractional positions:
Th: 0.0000 0.0000 0.0000
Th: 0.0000 0.5000 0.5000
Th: 0.5000 0.0000 0.5000
Th: 0.5000 0.5000 0.0000
Hg: 0.2500 0.2500 0.7500
Hg: 0.2500 0.7500 0.2500
Hg: 0.7500 0.2500 0.2500
Hg: 0.7500 0.7500 0.7500
Bi: 0.2500 0.2500 0.2500
Bi: 0.2500 0.7500 0.7500
Bi: 0.7500 0.2500 0.7500
Bi: 0.7500 0.7500 0.2500
Pb: 0.0000 0.0000 0.5000
Pb: 0.0000 0.5000 0.0000
Pb: 0.5000 0.0000 0.0000
Pb: 0.5000 0.5000 0.5000

Output
Space-group type: F-43m
Density of states at the Fermi level: 17.36 states/eV/cell

=====

Here are the energies relative to the best structure, in eV/atom: *one* 0.000; *two* 0.174.

=====

*one*
Material: HgBi3Pd
Method: DFT, PBE
State: relaxed

Cell: 5.7141 5.7141 9.6437 Å, 90.63 90.63 117.68°
Fractional positions:
Hg: 0.2475 0.2475 0.0685
Hg: 0.7525 0.7525 0.9315
Bi: 0.0901 0.4266 0.7559
Bi: 0.2465 0.2465 0.4066
Bi: 0.4266 0.0901 0.7559
Bi: 0.5734 0.9099 0.2441
Bi: 0.7535 0.7535 0.5934
Bi: 0.9099 0.5734 0.2441
Pd: 0.2501 0.7499 0.5000
Pd: 0.7499 0.2501 0.5000

Output
Space-group type: C2/m
Density of states at the Fermi level: 4.06 states/eV/cell

=====

*two*
Material: HgBi3Pd
Method: DFT, PBE
State: relaxed

Cell: 5.4297 5.4297 5.4297 Å, 90.00 90.00 90.00°
Fractional positions:
Hg: 0.0000 0.0000 0.0000
Bi: 0.0000 0.5000 0.5000
Bi: 0.5000 0.0000 0.5000
Bi: 0.5000 0.5000 0.0000
Pd: 0.5000 0.5000 0.5000

Output
Space-group type: Pm-3m
Density of states at the Fermi level: 6.92 states/eV/cell

=====

Here are the energies relative to the best structure, in eV/atom: *one* 0.000; *two* 0.377.

=====

*one*
Material: HgBiPd2
Method: DFT, PBE
State: relaxed

Cell: 6.8092 6.8092 6.8092 Å, 90.00 90.00 90.00°
Fractional positions:
Hg: 0.0000 0.0000 0.0000
Hg: 0.0000 0.5000 0.5000
Hg: 0.5000 0.0000 0.5000
Hg: 0.5000 0.5000 0.0000
Bi: 0.0000 0.0000 0.5000
Bi: 0.0000 0.5000 0.0000
Bi: 0.5000 0.0000 0.0000
Bi: 0.5000 0.5000 0.5000
Pd: 0.2500 0.2500 0.2500
Pd: 0.2500 0.2500 0.7500
Pd: 0.2500 0.7500 0.2500
Pd: 0.2500 0.7500 0.7500
Pd: 0.7500 0.2500 0.2500
Pd: 0.7500 0.2500 0.7500
Pd: 0.7500 0.7500 0.2500
Pd: 0.7500 0.7500 0.7500

Output
Space-group type: Fm-3m
Density of states at the Fermi level: 5.49 states/eV/cell

=====

*two*
Material: HgBiPd2
Method: DFT, PBE
State: relaxed

Cell: 8.2513 7.4648 5.7425 Å, 90.00 90.00 90.00°
Fractional positions:
Hg: 0.1172 0.0779 0.2500
Hg: 0.1172 0.4221 0.7500
Hg: 0.8828 0.5779 0.2500
Hg: 0.8828 0.9221 0.7500
Bi: 0.3743 0.5775 0.2500
Bi: 0.3743 0.9225 0.7500
Bi: 0.6257 0.0775 0.2500
Bi: 0.6257 0.4225 0.7500
Pd: 0.1312 0.7500 0.0000
Pd: 0.1312 0.7500 0.5000
Pd: 0.3729 0.2500 0.0000
Pd: 0.3729 0.2500 0.5000
Pd: 0.6271 0.7500 0.0000
Pd: 0.6271 0.7500 0.5000
Pd: 0.8688 0.2500 0.0000
Pd: 0.8688 0.2500 0.5000

Output
Space-group type: Pbcm
Density of states at the Fermi level: 10.61 states/eV/cell

=====

Here are the energies relative to the best structure, in eV/atom: *one* 0.024; *two* 0.000.

=====

*one*
Material: HgBiPd2
Method: DFT, PBE
State: relaxed

Cell: 4.8124 4.8124 3.4272 Å, 90.00 90.00 90.00°
Fractional positions:
Hg: 0.0000 0.0000 0.0000
Bi: 0.5000 0.5000 0.0000
Pd: 0.0000 0.5000 0.5000
Pd: 0.5000 0.0000 0.5000

Output
Space-group type: P4/mmm
Density of states at the Fermi level: 1.40 states/eV/cell

=====

*two*
Material: HgBiPd2
Method: DFT, PBE
State: relaxed

Cell: 7.5754 7.5754 6.0078 Å, 90.00 90.00 90.00°
Fractional positions:
Hg: 0.0000 0.0000 0.0000
Hg: 0.0000 0.5000 0.2500
Hg: 0.5000 0.0000 0.7500
Hg: 0.5000 0.5000 0.5000
Bi: 0.0000 0.0000 0.5000
Bi: 0.0000 0.5000 0.7500
Bi: 0.5000 0.0000 0.2500
Bi: 0.5000 0.5000 0.0000
Pd: 0.2483 0.2500 0.1250
Pd: 0.2500 0.7483 0.3750
Pd: 0.2500 0.7517 0.8750
Pd: 0.2517 0.2500 0.6250
Pd: 0.7483 0.7500 0.6250
Pd: 0.7500 0.2483 0.8750
Pd: 0.7500 0.2517 0.3750
Pd: 0.7517 0.7500 0.1250

Output
Space-group type: I-42d
Density of states at the Fermi level: 10.88 states/eV/cell

=====

Here are the energies relative to the best structure, in eV/atom: *one* 0.000; *two* 0.175.